PBE with a Hubbard U LaCoO4, relaxed; SG = Cm; M_tot = 0.6667 μB/atom; raw total energy = -39.76 eV/cell
1.0
3.1034 -2.8065 0.0000
3.1034 2.8065 0.0000
-1.5757 0.0000 5.1375
La Co O
1 1 4
Direct
0.0000 0.0000 0.0000
0.5229 0.5229 0.5324
0.1805 0.5684 0.2709
0.4274 0.8794 0.7433
0.5684 0.1805 0.2709
0.8794 0.4274 0.7433